No. 1
PmTcP, optimized geometry, DFT PBE; formation energy from the elements = -0.638 eV/atom; DOS(E_F) = 1.1797 states/eV per atom; symmetry = P-6m2, No. 187; energy above the lowest structure with this stoichiometry = 0 meV per atom
1.0
-3.866 1.603 -1.052
-1.586 -3.724 0.153
0.056 2.316 3.323
Tc Pm P
1 1 1
Direct
0.167 0.333 0.667
0.666 0.667 0.333
0.167 0.000 0.000



No. 2
Rb3PdF, optimized geometry, DFT PBE; DOS(E_F) = 0.0000 states/eV per atom; raw formation energy = -4.93 eV per formula unit; symmetry = Pm-3m, No. 221; energy above the lowest structure with this stoichiometry = 0 meV per atom
1.0
-4.434 -2.111 2.524
3.291 -2.844 3.402
-0.001 4.236 3.542
Rb Pd F
3 1 1
Direct
0.000 0.500 0.000
0.500 0.000 0.000
0.000 0.000 0.500
0.500 0.500 0.500
0.000 0.000 0.000



No. 3
VPt2Rh2, optimized geometry, DFT PBE; formation energy from the elements = -0.045 eV/atom; DOS(E_F) = 1.3613 states/eV per atom; symmetry = P6_3/mmc, No. 194; energy above the lowest structure with this stoichiometry = 36 meV per atom
1.0
-2.278 3.275 1.472
-1.413 -2.252 -3.318
-4.820 -6.150 6.225
V Pt Rh
2 4 4
Direct
0.000 0.000 0.750
0.000 0.000 0.250
0.000 0.000 0.000
0.333 0.667 0.250
0.667 0.333 0.750
0.000 0.000 0.500
0.667 0.333 0.385
0.333 0.667 0.885
0.667 0.333 0.115
0.333 0.667 0.615



No. 4
BeNiIr2, optimized geometry, DFT PBE; formation energy from the elements = -0.149 eV/atom; DOS(E_F) = 1.0044 states/eV per atom; symmetry = C2/m, No. 12
1.0
-1.658 -4.038 0.762
0.296 -3.609 2.554
-3.132 0.600 3.271
Ni Ir Be
1 2 1
Direct
0.750 0.750 0.750
0.519 0.519 0.488
0.981 0.981 0.012
0.250 0.250 0.250



No. 5
La4Pd15Pb, optimized geometry, DFT PBE; formation energy from the elements = -0.693 eV/atom; DOS(E_F) = 0.4164 states/eV per atom; symmetry = P4/mmm, No. 123
1.0
-3.038 -0.920 -2.778
0.595 -4.115 0.712
-14.225 0.602 15.354
La Pd Pb
4 15 1
Direct
0.000 0.000 0.803
0.000 0.000 0.601
0.000 0.000 0.197
0.000 0.000 0.399
0.500 0.500 0.602
0.000 0.500 0.703
0.500 0.500 0.398
0.500 0.000 0.095
0.500 0.500 0.195
0.000 0.500 0.905
0.000 0.500 0.500
0.500 0.500 0.805
0.500 0.000 0.703
0.000 0.500 0.095
0.500 0.500 0.000
0.000 0.500 0.297
0.500 0.000 0.905
0.500 0.000 0.500
0.500 0.000 0.297
0.000 0.000 0.000



No. 6
InBiPb3, optimized geometry, DFT PBE; formation energy from the elements = 0.466 eV/atom; DOS(E_F) = 0.6010 states/eV per atom; symmetry = Pm-3m, No. 221; energy above the lowest structure with this stoichiometry = 446 meV per atom
1.0
-1.650 2.727 -4.771
-1.108 -5.044 -2.500
-5.382 0.202 1.977
Pb In Bi
3 1 1
Direct
0.500 0.000 0.000
0.000 0.000 0.500
0.000 0.500 0.000
0.000 0.000 0.000
0.500 0.500 0.500



No. 7
YTl2SbO8, optimized geometry, DFT PBE; DOS(E_F) = 0.0477 states/eV per atom; raw formation energy = -14.57 eV per formula unit; symmetry = P2/m, No. 10
1.0
-4.845 -0.957 0.490
-0.469 -1.481 -4.650
1.481 -6.511 1.925
O Tl Y Sb
8 2 1 1
Direct
0.129 0.764 0.222
0.129 0.764 0.778
0.394 0.228 0.500
0.606 0.772 0.500
0.871 0.236 0.222
0.352 0.200 0.000
0.648 0.800 0.000
0.871 0.236 0.778
0.500 0.500 0.757
0.500 0.500 0.243
0.000 0.000 0.500
0.000 0.000 0.000



No. 8
Tb7CdIn5, optimized geometry, DFT PBE; formation energy from the elements = -0.243 eV/atom; DOS(E_F) = 0.9039 states/eV per atom; symmetry = Imm2, No. 44
1.0
6.562 0.000 0.000
3.281 7.539 0.126
3.281 0.102 7.540
In Tb Cd
5 7 1
Direct
0.776 0.724 0.724
0.004 0.471 0.994
0.531 0.994 0.471
0.004 0.994 0.471
0.531 0.471 0.994
0.016 0.668 0.300
0.608 0.392 0.392
0.526 0.804 0.143
0.244 0.756 0.756
0.277 0.223 0.223
0.526 0.143 0.804
0.016 0.300 0.668
0.941 0.059 0.059



- The highest DOS(E_F) belongs to which entry?
  VPt2Rh2